Entry 1:
Material: CoSe
Method: DFT, PBE
State: relaxed

Output
* energy relative to the elements, uncorrected: -0.0630 eV/atom
* magnetization: 0.000 μB/atom
* electronic total energy: -5.36 eV per atom

Geometry as POSCAR:
```
CoSe
1.0
10.9598 0.0000 0.0000
0.0000 3.3536 0.0000
0.0000 0.0000 5.9970
Co Se
6 6
Cartesian
8.9279 0.0000 3.9783 Co
2.0319 0.0000 3.9783 Co
3.4480 1.6768 0.9798 Co
7.5118 1.6768 0.9798 Co
0.0000 0.0000 2.5847 Co
5.4799 1.6768 5.5832 Co
8.8939 0.0000 1.6471 Se
2.0659 0.0000 1.6471 Se
3.4140 1.6768 4.6456 Se
7.5458 1.6768 4.6456 Se
0.0000 1.6768 4.1673 Se
5.4799 0.0000 1.1688 Se
```



Entry 2:
Material: Co2SiSe
Method: DFT, PBE
State: relaxed

Output
* distance to the lowest polymorph of the same formula: 9.28 kcal/mol of atoms
* energy relative to the elements, uncorrected: 0.2196 eV/atom
* magnetization: 0.309 μB/atom
* electronic total energy: -5.56 eV per atom

Geometry as POSCAR:
```
Co2SiSe
1.0
-5.8601 -3.9297 -2.0461
-3.6008 -5.8877 -2.5177
-4.7782 -5.5744 0.2529
Co Se Si
2 1 1
Cartesian
-0.0687 -0.0743 -0.0208 Co
-3.5079 -3.7919 -1.0620 Co
-7.2786 -7.8679 -2.2036 Se
-10.5034 -11.3537 -3.1799 Si
```



Entry 3:
Material: Co2SiSe
Method: DFT, PBE
State: relaxed

Output
* distance to the lowest polymorph of the same formula: 3.72 kcal/mol of atoms
* energy relative to the elements, uncorrected: -0.0216 eV/atom
* magnetization: 0.276 μB/atom
* electronic total energy: -5.80 eV per atom

Geometry as POSCAR:
```
Co2SiSe
1.0
-0.8149 3.5274 0.9950
-2.5078 1.7030 2.2153
2.9587 0.5279 4.8938
Co Se Si
2 1 1
Cartesian
2.7758 0.5209 4.6296 Co
0.0009 2.8861 4.3162 Co
-0.0910 1.4396 2.0260 Se
-0.2730 4.3188 6.0781 Si
```



Entry 4:
Material: CoSiSe3
Method: DFT, PBE
State: relaxed

Output
* distance to the lowest polymorph of the same formula: 5.32 kcal/mol of atoms
* energy relative to the elements, uncorrected: 0.7559 eV/atom
* magnetization: 0.581 μB/atom
* electronic total energy: -3.84 eV per atom

Geometry as POSCAR:
```
CoSiSe3
1.0
-4.4772 -1.3369 1.0959
-0.1097 -2.8167 -3.8843
1.7252 -3.6486 2.5971
Si Co Se
1 1 3
Cartesian
0.0000 0.0000 0.0000 Si
-1.4308 -3.9012 -0.0956 Co
-0.0548 -1.4084 -1.9422 Se
0.8626 -1.8243 1.2986 Se
-2.2386 -0.6685 0.5480 Se
```



electronic total energy of number 2 (Co2SiSe)?
-5.56 eV per atom



Please write out number 1 again, unchanged.
Material: CoSe
Method: DFT, PBE
State: relaxed

Output
* energy relative to the elements, uncorrected: -0.0630 eV/atom
* magnetization: 0.000 μB/atom
* electronic total energy: -5.36 eV per atom

Geometry as POSCAR:
```
CoSe
1.0
10.9598 0.0000 0.0000
0.0000 3.3536 0.0000
0.0000 0.0000 5.9970
Co Se
6 6
Cartesian
8.9279 0.0000 3.9783 Co
2.0319 0.0000 3.9783 Co
3.4480 1.6768 0.9798 Co
7.5118 1.6768 0.9798 Co
0.0000 0.0000 2.5847 Co
5.4799 1.6768 5.5832 Co
8.8939 0.0000 1.6471 Se
2.0659 0.0000 1.6471 Se
3.4140 1.6768 4.6456 Se
7.5458 1.6768 4.6456 Se
0.0000 1.6768 4.1673 Se
5.4799 0.0000 1.1688 Se
```



The highest electronic total energy belongs to which entry?
CoSiSe3